Record 1
Here is Ac12CdPd7 after structural relaxation from Alexandria via LeMat-Bulk. Energies are from PBE-GGA.

Properties
Calculated volume = 697 Å³/f.u.
ρ = 8.53 Mg/m³
Energy of formation from the pure elements = -0.49 eV per atom

abc: 9.809 9.809 9.809
angles: 110.51 110.51 110.51
Positions (direct):
1 Ac 0.116 0.403 0.322
2 Ac 0.118 0.264 0.668
3 Ac 0.264 0.668 0.118
4 Ac 0.322 0.116 0.403
5 Ac 0.332 0.882 0.736
6 Ac 0.403 0.322 0.116
7 Ac 0.597 0.678 0.884
8 Ac 0.668 0.118 0.264
9 Ac 0.678 0.884 0.597
10 Ac 0.736 0.332 0.882
11 Ac 0.882 0.736 0.332
12 Ac 0.884 0.597 0.678
13 Cd 0.000 0.000 0.000
14 Pd 0.033 0.270 0.942
15 Pd 0.058 0.967 0.730
16 Pd 0.270 0.942 0.033
17 Pd 0.500 0.500 0.500
18 Pd 0.730 0.058 0.967
19 Pd 0.942 0.033 0.270
20 Pd 0.967 0.730 0.058

Record 2
Here is KSrBi after structural relaxation from Alexandria via LeMat-Bulk. Energies are from PBE-GGA.

Properties
Calculated volume = 119 Å³/f.u.
ρ = 4.69 Mg/m³
Energy of formation from the pure elements = -0.46 eV per atom

abc: 6.309 6.309 6.309
angles: 136.14 136.14 63.76
Positions (direct):
1 K 0.000 0.000 0.000
2 Sr 0.699 0.699 0.000
3 Bi 0.327 0.327 0.000

Record 3
Here is Er2Se3 after structural relaxation from Alexandria via LeMat-Bulk. Energies are from PBE-GGA.

Properties
Calculated volume = 125 Å³/f.u.
ρ = 7.59 Mg/m³
Formation energy (no corrections) = -9.1 eV per formula unit

abc: 3.941 3.941 8.052
angles: 90.00 90.00 90.00
Positions (direct):
1 Er 0.000 0.500 0.238
2 Er 0.500 0.000 0.762
3 Se 0.000 0.500 0.866
4 Se 0.500 0.000 0.134
5 Se 0.500 0.500 0.500

Record 4
Here is Li2PbW after structural relaxation from Alexandria via LeMat-Bulk. Energies are from PBE-GGA.

Properties
Calculated volume = 76 Å³/f.u.
ρ = 8.88 Mg/m³
Energy of formation from the pure elements = 0.48 eV per atom

abc: 2.885 2.885 9.766
angles: 90.00 90.00 111.32
Positions (direct):
1 Li 0.000 0.000 0.237
2 Li 0.000 0.000 0.763
3 Pb 0.500 0.500 0.500
4 W 0.500 0.500 0.000

Record 5
Here is Nd5Zn2Pb after structural relaxation from Alexandria via LeMat-Bulk. Energies are from PBE-GGA.

Properties
Calculated volume = 236 Å³/f.u.
ρ = 7.46 Mg/m³
Energy of formation from the pure elements = -0.31 eV per atom

abc: 8.878 8.878 8.878
angles: 122.86 122.86 85.12
Positions (direct):
1 Nd 0.000 0.000 0.000
2 Nd 0.008 0.508 0.806
3 Nd 0.203 0.008 0.500
4 Nd 0.297 0.797 0.806
5 Nd 0.492 0.297 0.500
6 Nd 0.500 0.500 0.000
7 Nd 0.508 0.703 0.500
8 Nd 0.703 0.203 0.194
9 Nd 0.797 0.992 0.500
10 Nd 0.992 0.492 0.194
11 Zn 0.142 0.358 0.500
12 Zn 0.358 0.858 0.216
13 Zn 0.642 0.142 0.784
14 Zn 0.858 0.642 0.500
15 Pb 0.250 0.250 0.000
16 Pb 0.750 0.750 0.000

Record 6
Here is K3RbLi after structural relaxation from Alexandria via LeMat-Bulk. Energies are from PBE-GGA.

Properties
Calculated volume = 451 Å³/f.u.
ρ = 0.77 Mg/m³
Offset from the most stable computed form = 147.8 kJ/mol of formula units
Energy of formation from the pure elements = 0.43 eV per atom

abc: 7.668 7.668 7.668
angles: 90.00 90.00 90.00
Positions (direct):
1 K 0.000 0.000 0.500
2 K 0.000 0.500 0.000
3 K 0.500 0.000 0.000
4 Rb 0.000 0.000 0.000
5 Li 0.500 0.500 0.500

Record 7
Here is TmCu4Ni4 after structural relaxation from Alexandria via LeMat-Bulk. Energies are from PBE-GGA.

Properties
Calculated volume = 115 Å³/f.u.
ρ = 9.49 Mg/m³
Energy of formation from the pure elements = -0.07 eV per atom

abc: 5.844 5.844 5.844
angles: 95.93 95.93 142.49
Positions (direct):
1 Tm 0.000 0.000 0.000
2 Cu 0.321 0.321 0.642
3 Cu 0.321 0.679 0.000
4 Cu 0.679 0.321 0.000
5 Cu 0.679 0.679 0.358
6 Ni 0.000 0.344 0.344
7 Ni 0.000 0.656 0.656
8 Ni 0.344 0.000 0.344
9 Ni 0.656 0.000 0.656

Record 8
Here is Pr2Sm2Br7 after structural relaxation from Alexandria via LeMat-Bulk. Energies are from PBE-GGA.

Properties
Calculated volume = 434 Å³/f.u.
ρ = 4.37 Mg/m³
Formation energy (no corrections) = -15.4 eV per formula unit

abc: 7.625 7.625 7.903
angles: 91.33 91.33 109.18
Positions (direct):
1 Pr 0.145 0.855 0.000
2 Pr 0.855 0.145 0.000
3 Sm 0.205 0.205 0.348
4 Sm 0.795 0.795 0.652
5 Br 0.096 0.494 0.212
6 Br 0.128 0.128 0.715
7 Br 0.494 0.096 0.212
8 Br 0.500 0.500 0.500
9 Br 0.506 0.904 0.788
10 Br 0.872 0.872 0.285
11 Br 0.904 0.506 0.788

Magnetization? In order: 0.0, 0.0, 0.0, 0.0, 0.0, 0.0, 0.0, 0.2 μB/f.u..